## GaAs2PbBr (meta-GGA SCAN)

Data for a PBEsol-optimized structure of GaAs2PbBr.

a b c (Å): 5.355 5.355 5.792
angles (deg): 90.00 90.00 90.00
Site moments in Bohr magnetons follow the coordinates.
Atoms (fractional coordinates):
Br  0.000  0.000  0.500  0.08
Ga  0.500  0.500  0.500  0.00
As  0.500  0.000  0.000  0.47
As  0.000  0.500  0.000  0.47
Pb  0.000  0.000  0.000  0.00

Output
SG: P4/mmm (123)
Formation energy from raw total energies in eV/atom: 0.64
V in Å³ per atom: 33.2
ρ in g/cm³: 5.1
Fermi-level density of states in states/eV/f.u.: 2.63
Energy in eV/atom: -29.755